1.
Computed, not measured: Ba2Ge3BiPt4 after structural relaxation at the PBE-GGA level of DFT.

Lattice parameters (Å, degrees): 4.6849 4.6849 10.3877 90.00 90.00 90.00
Positions (direct):
Ba 0.0000 0.5000 0.2425
Ba 0.5000 0.0000 0.7575
Ge 0.0000 0.5000 0.8897
Ge 0.5000 0.0000 0.1103
Ge 0.5000 0.5000 0.5000
Bi 0.0000 0.0000 0.5000
Pt 0.0000 0.0000 0.0000
Pt 0.0000 0.5000 0.6438
Pt 0.5000 0.0000 0.3562
Pt 0.5000 0.5000 0.0000

Energy relative to the elements   -0.6919 eV per atom
Crystal system   tetragonal
Total moment   0.0 μB/cell
DFT total energy   -52.7 eV per cell
D(E_F)   5.212 states/eV/f.u.


2.
Computed, not measured: Cs2HgBiH after structural relaxation at the PBE-GGA level of DFT.

Lattice parameters (Å, degrees): 6.6320 6.6320 4.4732 90.00 90.00 90.00
Positions (direct):
Cs 0.0000 0.5000 0.0000
Cs 0.5000 0.0000 0.0000
Hg 0.0000 0.0000 0.5000
Bi 0.5000 0.5000 0.5000
H 0.5000 0.5000 0.0000

Crystal system   tetragonal
Total moment   0.0 μB/cell
DFT total energy   -10.1 eV per cell
D(E_F)   1.636 states/eV/f.u.


3.
Computed, not measured: Ba2YGaB after structural relaxation at the PBE-GGA level of DFT.

Lattice parameters (Å, degrees): 6.0610 6.0610 4.8210 90.00 90.00 90.00
Positions (direct):
Ba 0.0000 0.5000 0.0000
Ba 0.5000 0.0000 0.0000
Y 0.0000 0.0000 0.5000
Ga 0.5000 0.5000 0.5000
B 0.0000 0.0000 0.0000

Energy relative to the elements   0.3031 eV per atom
Crystal system   tetragonal
Total moment   0.0 μB/cell
DFT total energy   -18.5 eV per cell
D(E_F)   7.376 states/eV/f.u.


4.
Computed, not measured: Mg4AgAu2 after structural relaxation at the PBE-GGA level of DFT.

Lattice parameters (Å, degrees): 7.7964 7.7964 7.7964 34.87 34.87 34.87
Positions (direct):
Mg 0.1171 0.1171 0.1171
Mg 0.3711 0.3711 0.3711
Mg 0.6289 0.6289 0.6289
Mg 0.8829 0.8829 0.8829
Ag 0.5000 0.5000 0.5000
Au 0.2474 0.2474 0.2474
Au 0.7526 0.7526 0.7526

Energy relative to the elements   -0.4560 eV per atom
Crystal system   trigonal
Total moment   0.0 μB/cell
DFT total energy   -19.0 eV per cell
D(E_F)   3.160 states/eV/f.u.


5.
Computed, not measured: Be2ZnP after structural relaxation at the PBE-GGA level of DFT.

Lattice parameters (Å, degrees): 2.7593 2.7593 21.2520 90.00 90.00 120.00
Positions (direct):
Be 0.0000 0.0000 0.2437
Be 0.0000 0.0000 0.7563
Be 0.3333 0.6667 0.4229
Be 0.3333 0.6667 0.9104
Be 0.6667 0.3333 0.0896
Be 0.6667 0.3333 0.5771
Zn 0.0000 0.0000 0.0000
Zn 0.3333 0.6667 0.6667
Zn 0.6667 0.3333 0.3333
P 0.0000 0.0000 0.5000
P 0.3333 0.6667 0.1667
P 0.6667 0.3333 0.8333

Energy relative to the elements   0.2854 eV per atom
Crystal system   trigonal
Total moment   0.0 μB/cell
DFT total energy   -39.0 eV per cell
D(E_F)   0.819 states/eV/f.u.


6.
Computed, not measured: InSn2Te2 after structural relaxation at the PBE-GGA level of DFT.

Lattice parameters (Å, degrees): 8.4620 8.4620 4.3008 90.00 90.00 90.00
Positions (direct):
In 0.0000 0.0000 0.0000
In 0.5000 0.5000 0.0000
Sn 0.1419 0.3581 0.0000
Sn 0.3581 0.8581 0.0000
Sn 0.6419 0.1419 0.0000
Sn 0.8581 0.6419 0.0000
Te 0.1699 0.6699 0.5000
Te 0.3301 0.1699 0.5000
Te 0.6699 0.8301 0.5000
Te 0.8301 0.3301 0.5000

Raw formation energy   -0.081 eV/atom
Crystal system   tetragonal
Total moment   0.0 μB/cell
DFT total energy   -34.9 eV per cell
D(E_F)   2.367 states/eV/f.u.